Entry 1:
An optimized crystal structure of Th2PS2. Source: Alexandria via LeMat-Bulk, functional PBE-GGA.

Computed properties:
As for the space group: Ibam, No. 72. As for the total DFT energy (no corrections): -7.32 eV per atom. For the energy above the most stable polymorph in this dataset, the calculation gives 81 meV per atom. The uncorrected formation energy comes out at -1.624 eV per atom.

Cell and atoms, written as POSCAR:
```
Th2PS2
1.0
5.604 0.000 0.000
0.000 7.921 0.000
-2.802 -3.960 5.487
Th P S
4 2 4
Cartesian
0.000 2.154 4.169
2.802 1.806 1.318
0.000 6.114 1.318
2.802 -2.154 4.169
4.203 3.960 0.000
1.401 3.960 0.000
2.802 2.837 3.975
0.000 1.123 1.512
2.802 6.798 1.512
0.000 -2.837 3.975
```

---

Entry 2:
An optimized crystal structure of UVPd14. Source: Alexandria via LeMat-Bulk, functional PBE-GGA.

Computed properties:
As for the space group: P4/mmm, No. 123. As for the total DFT energy (no corrections): -6.07 eV per atom. As for the formation energy: -0.26 eV per atom.

Cell and atoms, written as POSCAR:
```
UVPd14
1.0
5.694 -0.012 0.000
0.012 5.694 0.000
0.000 0.000 7.760
U V Pd
1 1 14
Cartesian
4.992 4.971 3.880
2.140 2.131 3.880
4.992 4.971 0.000
2.140 2.131 0.000
4.986 2.125 3.880
4.986 2.124 0.000
2.146 4.977 3.880
2.146 4.977 0.000
3.543 0.722 1.989
3.543 0.722 5.771
0.737 3.539 1.989
0.737 3.539 5.771
3.548 3.533 1.989
3.548 3.533 5.771
0.731 0.728 1.989
0.731 0.728 5.771
```

---

Entry 3:
An optimized crystal structure of LaTbOs. Source: Alexandria via LeMat-Bulk, functional PBE-GGA.

Computed properties:
As for the space group: Cmce, No. 64. As for the total DFT energy (no corrections): -7.06 eV per atom. As for the formation energy: -0.13 eV per atom. For the energy above the most stable polymorph in this dataset, the calculation gives 11 meV per atom.

Cell and atoms, written as POSCAR:
```
LaTbOs
1.0
6.625 0.000 0.000
-3.313 6.807 0.000
0.000 0.000 7.281
Os Tb La
4 4 4
Cartesian
3.313 1.554 3.961
3.313 5.253 0.320
0.000 5.253 3.320
0.000 1.554 6.961
1.656 0.409 1.820
-1.656 6.398 5.461
1.656 6.398 5.461
4.969 0.409 1.820
3.313 4.082 2.821
3.313 2.725 6.462
0.000 2.725 4.460
0.000 4.082 0.819
```

---

Entry 4:
An optimized crystal structure of Sm5Th3P8. Source: Alexandria via LeMat-Bulk, functional PBE-GGA.

Computed properties:
As for the space group: R-3m, No. 166. As for the total DFT energy (no corrections): -7.16 eV per atom. As for the formation energy: -1.59 eV per atom.

Cell and atoms, written as POSCAR:
```
Sm5Th3P8
1.0
-4.942 -6.339 -1.865
-4.642 -3.479 5.869
-8.175 1.020 -0.059
Sm Th P
5 3 8
Cartesian
-2.471 -3.170 -0.933
-4.792 -4.909 2.002
0.000 0.000 0.000
-2.321 -1.739 2.935
-8.879 -4.399 1.972
-6.558 -2.659 -0.962
-4.087 0.510 -0.030
-6.408 -1.229 2.905
-8.521 -1.690 0.956
-10.845 -3.432 3.896
-10.996 -4.865 0.022
-13.319 -6.598 2.958
-9.238 -7.107 2.988
-6.914 -5.365 0.049
-6.763 -3.933 3.922
-4.439 -2.200 0.986
```

---

Entry 5:
An optimized crystal structure of Tc2MoIr. Source: Alexandria via LeMat-Bulk, functional PBE-GGA.

Computed properties:
As for the space group: R-3m, No. 166. As for the total DFT energy (no corrections): -10.05 eV per atom. As for the formation energy: 0.06 eV per atom. For the energy above the most stable polymorph in this dataset, the calculation gives 197 meV per atom.

Cell and atoms, written as POSCAR:
```
Tc2MoIr
1.0
9.264 0.012 0.007
8.853 2.728 0.007
8.853 1.339 2.377
Ir Mo Tc
1 1 2
Cartesian
6.743 1.020 0.598
20.228 3.059 1.793
26.918 4.071 2.386
13.538 2.048 1.200
```

---

Entry 6:
An optimized crystal structure of Er3TmSn2. Source: Alexandria via LeMat-Bulk, functional PBE-GGA.

Computed properties:
As for the space group: P-4m2, No. 115. As for the total DFT energy (no corrections): -4.92 eV per atom. As for the formation energy: -0.56 eV per atom.

Cell and atoms, written as POSCAR:
```
Er3TmSn2
1.0
4.493 0.000 0.000
0.000 4.493 0.000
0.000 0.000 8.347
Er Tm Sn
3 1 2
Cartesian
2.247 0.000 2.872
0.000 2.247 5.475
0.000 0.000 0.000
2.247 2.247 0.000
2.247 0.000 6.008
0.000 2.247 2.339
```

---

Entry 7:
An optimized crystal structure of LiZrCdAu. Source: Alexandria via LeMat-Bulk, functional PBE-GGA.

Computed properties:
As for the space group: P4mm, No. 99. As for the total DFT energy (no corrections): -4.01 eV per atom. As for the formation energy: -0.35 eV per atom.

Cell and atoms, written as POSCAR:
```
LiZrCdAu
1.0
3.210 0.000 0.000
0.000 3.210 0.000
0.000 0.000 7.218
Li Zr Cd Au
1 1 1 1
Cartesian
0.000 0.000 4.016
0.000 0.000 0.632
1.605 1.605 5.697
1.605 1.605 2.537
```

---

Entry 8:
An optimized crystal structure of Sm2Ho7Tl2. Source: Alexandria via LeMat-Bulk, functional PBE-GGA.

Computed properties:
As for the space group: Imm2, No. 44. As for the total DFT energy (no corrections): -4.22 eV per atom. As for the formation energy: -0.01 eV per atom.

Cell and atoms, written as POSCAR:
```
Sm2Ho7Tl2
1.0
-3.655 0.073 -0.116
-2.182 -9.720 4.973
-2.209 -1.974 10.733
Sm Ho Tl
2 7 2
Cartesian
-2.189 -7.656 6.508
-4.025 -5.030 8.375
-3.776 -0.975 3.058
-5.954 -5.473 11.234
-4.035 -2.356 10.364
-3.922 -4.856 5.220
-4.119 -8.002 9.450
-4.275 -8.956 13.789
-2.104 -2.412 7.134
-6.037 -9.609 11.215
-2.003 -3.620 3.180
```